Material: Sm6Tl3Ag
Method: DFT, GGA-PBE
State: relaxed

Properties
Energy of formation ... -0.18 eV per atom
Magnetic moment ... 0.00 μB/f.u.
Distance to the lowest polymorph of the same formula ... 66.7 meV/atom
Space group ... P2_1/m, No. 11
Raw total energy ... -4.007 eV per atom

Cell: 11.6056 3.7804 14.7181 Å, 90.00 107.92 90.00°
Closest atoms and distances in Å follow each position.
Sites, in units of the cell vectors:
Sm  0.0016  0.2500  0.1749  4 Tl 3.20-3.49, 3 Sm 3.48-3.52
Sm  0.0973  0.7500  0.4131  4 Tl 3.20-3.31
Sm  0.2563  0.2500  0.8418  2 Ag 3.04, 3 Tl 3.27-3.37
Sm  0.3200  0.2500  0.2582  1 Ag 3.17, 3 Tl 3.23-3.45, 1 Sm 3.52
Sm  0.3636  0.2500  0.6211  2 Ag 3.14, 5 Tl 3.27-3.36
Sm  0.3960  0.7500  0.0525  2 Ag 3.06, 2 Tl 3.37
Sm  0.6040  0.2500  0.9475  2 Ag 3.06, 2 Tl 3.37
Sm  0.6364  0.7500  0.3789  2 Ag 3.14, 5 Tl 3.27-3.36
Sm  0.6800  0.7500  0.7418  1 Ag 3.17, 3 Tl 3.23-3.45, 1 Sm 3.52
Sm  0.7437  0.7500  0.1582  2 Ag 3.04, 3 Tl 3.27-3.37
Sm  0.9027  0.2500  0.5869  4 Tl 3.20-3.31
Sm  0.9984  0.7500  0.8251  4 Tl 3.20-3.49, 3 Sm 3.48-3.52
Tl  0.1369  0.7500  0.6456  8 Sm 3.20-3.49, 1 Ag 3.55
Tl  0.1463  0.2500  0.0214  7 Sm 3.20-3.45
Tl  0.3846  0.7500  0.4455  6 Sm 3.22-3.36, 2 Tl 3.27
Tl  0.6154  0.2500  0.5545  6 Sm 3.22-3.36, 2 Tl 3.27
Tl  0.8537  0.7500  0.9786  7 Sm 3.20-3.45
Tl  0.8631  0.2500  0.3544  8 Sm 3.20-3.49, 1 Ag 3.55
Ag  0.4393  0.7500  0.8003  7 Sm 3.04-3.17
Ag  0.5607  0.2500  0.1997  7 Sm 3.04-3.17



Material: DyTc2
Method: DFT, GGA-PBE
State: relaxed

Properties
Energy of formation ... 0.04 eV per atom
Magnetic moment ... 0.00 μB/f.u.
Distance to the lowest polymorph of the same formula ... 221.1 meV/atom
Space group ... I4/mmm, No. 139
Raw total energy ... -8.406 eV per atom

Cell: 6.1155 6.1155 6.1155 Å, 150.29 150.29 42.52°
Closest atoms and distances in Å follow each position.
Sites, in units of the cell vectors:
Dy  0.0000  0.0000  0.0000  8 Tc 3.12, 4 Dy 3.14
Tc  0.3071  0.3071  0.0000  4 Tc 2.57
Tc  0.6929  0.6929  0.0000  4 Tc 2.57



Material: Tb2CeTm
Method: DFT, GGA-PBE
State: relaxed

Properties
Energy of formation ... 0.06 eV per atom
Magnetic moment ... 0.57 μB/f.u.
Distance to the lowest polymorph of the same formula ... 5.1 meV/atom
Space group ... P4/mmm, No. 123
Raw total energy ... -4.856 eV per atom

Cell: 3.5148 3.5148 9.9950 Å, 90.00 90.00 90.00°
Closest atoms and distances in Å follow each position.
Sites, in units of the cell vectors:
Tb  0.0000  0.0000  0.2472  4 Ce 3.50, 4 Tb 3.51, 4 Tm 3.54
Tb  0.0000  0.0000  0.7528  4 Ce 3.50, 4 Tb 3.51, 4 Tm 3.54
Ce  0.5000  0.5000  0.0000  8 Tb 3.50, 4 Ce 3.51
Tm  0.5000  0.5000  0.5000  4 Tm 3.51, 8 Tb 3.54



Material: LiPuMnSn
Method: DFT, GGA-PBE
State: relaxed

Properties
Energy of formation ... 0.07 eV per atom
Magnetic moment ... 6.67 μB/f.u.
Space group ... F-43m, No. 216
Raw total energy ... -7.286 eV per atom

Cell: 4.6659 4.6659 4.6659 Å, 60.00 60.00 60.00°
Closest atoms and distances in Å follow each position.
Sites, in units of the cell vectors:
Li  0.0000  0.0000  0.0000  4 Sn 2.86, 4 Pu 2.86
Pu  0.7500  0.7500  0.7500  4 Mn 2.86, 4 Li 2.86
Mn  0.5000  0.5000  0.5000  4 Pu 2.86, 4 Sn 2.86
Sn  0.2500  0.2500  0.2500  4 Mn 2.86, 4 Li 2.86



Material: NiAs2P
Method: DFT, GGA-PBE
State: relaxed

Properties
Energy of formation ... 0.09 eV per atom
Magnetic moment ... 0.00 μB/f.u.
Space group ... Immm, No. 71
Raw total energy ... -5.030 eV per atom

Cell: 6.2492 6.2492 6.2492 Å, 148.63 147.54 45.76°
Closest atoms and distances in Å follow each position.
Sites, in units of the cell vectors:
Ni  0.0000  0.0000  0.0000  4 P 2.43, 4 As 2.53
As  0.3405  0.8405  0.5000  2 P 2.50, 2 Ni 2.53
As  0.6595  0.1595  0.5000  2 P 2.50, 2 Ni 2.53
P  0.5000  0.5000  0.0000  4 Ni 2.43, 4 As 2.50



Material: SrPrAl2
Method: DFT, GGA-PBE
State: relaxed

Properties
Energy of formation ... -0.20 eV per atom
Magnetic moment ... 0.00 μB/f.u.
Distance to the lowest polymorph of the same formula ... 0.0 meV/atom
Space group ... P4/mmm, No. 123
Raw total energy ... -3.690 eV per atom

Cell: 3.8072 3.8072 7.8610 Å, 90.00 90.00 90.00°
Closest atoms and distances in Å follow each position.
Sites, in units of the cell vectors:
Sr  0.0000  0.0000  0.0000  8 Al 3.42, 4 Sr 3.81
Pr  0.0000  0.0000  0.5000  8 Al 3.25
Al  0.5000  0.5000  0.2673  4 Pr 3.25, 4 Sr 3.42
Al  0.5000  0.5000  0.7327  4 Pr 3.25, 4 Sr 3.42